No. 1
{"formula": "AlPW2", "functional": "PBE", "state": "relaxed", "total_energy_ev_per_atom": -8.725, "polymorph_energy_mev_per_atom": 231, "lattice": [[-3.6220, -2.2073, -1.5201], [1.6100, -2.4690, -0.2511], [-0.3084, -2.4126, 4.2381]], "species": ["P", "W", "W", "Al"], "frac_coords": [[0.5000, 0.9283, 0.7739], [0.5000, 0.2076, 0.2151], [0.0000, 0.8142, 0.9890], [0.0000, 0.5499, 0.5220]]}



No. 2
{"formula": "AlPW2", "functional": "PBE", "state": "relaxed", "total_energy_ev_per_atom": -8.956, "polymorph_energy_mev_per_atom": 0, "lattice": [[-2.8798, 0.8145, 1.0009], [-0.8903, -3.0259, -0.0990], [1.7433, -0.6955, 5.5820]], "species": ["W", "W", "P", "Al"], "frac_coords": [[0.5000, 0.5000, 0.2598], [0.0000, 0.0000, 0.9671], [0.5000, 0.5000, 0.7668], [0.0000, 0.0000, 0.5064]]}



No. 3
{"formula": "AlPW2", "functional": "PBE", "state": "relaxed", "total_energy_ev_per_atom": -8.704, "polymorph_energy_mev_per_atom": 252, "lattice": [[8.3665, -0.0042, -0.0024], [7.8569, 2.8752, -0.0024], [7.8569, 1.3904, 2.5166]], "species": ["Al", "W", "W", "P"], "frac_coords": [[0.2500, 0.2500, 0.2500], [0.0077, 0.0077, 0.0077], [0.4923, 0.4923, 0.4923], [0.7500, 0.7500, 0.7500]]}



No. 4
{"formula": "AlPW2", "functional": "PBE", "state": "relaxed", "total_energy_ev_per_atom": -8.663, "polymorph_energy_mev_per_atom": 293, "lattice": [[-1.6631, -0.3878, -4.6766], [1.4390, -4.1578, -2.3298], [-2.4448, 1.5627, 4.0456]], "species": ["W", "W", "P", "Al"], "frac_coords": [[0.7503, 0.2503, 0.5000], [0.0150, 0.0150, 0.0000], [0.2408, 0.7408, 0.5000], [0.4939, 0.4939, 0.0000]]}



No. 5
{"formula": "AlPW2", "functional": "PBE", "state": "relaxed", "total_energy_ev_per_atom": -8.740, "polymorph_energy_mev_per_atom": 216, "lattice": [[-7.2213, -1.5356, -4.0898], [-5.3142, -2.9270, -5.8672], [-6.3766, -4.3000, -3.4758]], "species": ["W", "W", "P", "Al"], "frac_coords": [[0.2497, 0.2497, 0.2497], [0.0080, 0.0080, 0.0080], [0.7448, 0.7448, 0.7448], [0.4975, 0.4975, 0.4975]]}



No. 6
{"formula": "Al4PW", "functional": "PBE", "state": "relaxed", "total_energy_ev_per_atom": -5.297, "lattice": [[0.0000, 3.5890, 3.5890], [3.5890, 0.0000, 3.5890], [3.5890, 3.5890, 0.0000]], "species": ["W", "Al", "Al", "Al", "Al", "P"], "frac_coords": [[0.0000, 0.0000, 0.0000], [0.3743, 0.3743, 0.8771], [0.3743, 0.8771, 0.3743], [0.3743, 0.3743, 0.3743], [0.8771, 0.3743, 0.3743], [0.7500, 0.7500, 0.7500]]}



No. 7
{"formula": "Al3PW", "functional": "PBE", "state": "relaxed", "total_energy_ev_per_atom": -4.767, "polymorph_energy_mev_per_atom": 97, "lattice": [[-0.4993, 4.8307, 0.2902], [-1.9588, -0.4685, 4.4286], [4.4253, 0.3376, 1.9931]], "species": ["P", "Al", "Al", "Al", "W"], "frac_coords": [[0.5000, 0.5000, 0.5000], [0.0000, 0.5000, 0.0000], [0.0000, 0.0000, 0.5000], [0.5000, 0.0000, 0.0000], [0.0000, 0.0000, 0.0000]]}



No. 8
{"formula": "AlPW2", "functional": "PBE", "state": "relaxed", "total_energy_ev_per_atom": -8.732, "polymorph_energy_mev_per_atom": 224, "lattice": [[3.0202, 0.0000, 0.0000], [0.0000, 2.9012, 0.0000], [0.0000, 0.0000, 6.7815]], "species": ["W", "W", "Al", "P"], "frac_coords": [[0.0000, 0.0000, 0.5367], [0.0000, 0.0000, 0.9633], [0.5000, 0.5000, 0.2500], [0.5000, 0.5000, 0.7500]]}



No. 9
{"formula": "AlPW2", "functional": "PBE", "state": "relaxed", "total_energy_ev_per_atom": -8.410, "polymorph_energy_mev_per_atom": 546, "lattice": [[-1.5666, 2.1770, -2.6573], [2.2659, -1.5403, -2.5977], [-5.8622, -6.1120, -4.2333]], "species": ["W", "W", "W", "W", "P", "P", "Al", "Al"], "frac_coords": [[0.8750, 0.8811, 0.7500], [0.6311, 0.1250, 0.2500], [0.3750, 0.3689, 0.7500], [0.1189, 0.6250, 0.2500], [0.0000, 0.0000, 0.0000], [0.7500, 0.2500, 0.5000], [0.2500, 0.7500, 0.5000], [0.5000, 0.5000, 0.0000]]}



No. 10
{"formula": "AlPW2", "functional": "PBE", "state": "relaxed", "total_energy_ev_per_atom": -8.664, "polymorph_energy_mev_per_atom": 292, "lattice": [[5.0054, -0.0066, 0.0018], [1.8023, 4.6696, -0.0018], [-2.7604, -3.2709, 2.5952]], "species": ["W", "W", "P", "Al"], "frac_coords": [[0.4714, 0.4714, 0.0000], [0.0286, 0.0286, 0.0000], [0.2500, 0.7500, 0.5000], [0.7500, 0.2500, 0.5000]]}



No. 11
{"formula": "AlPW2", "functional": "PBE", "state": "relaxed", "total_energy_ev_per_atom": -8.542, "polymorph_energy_mev_per_atom": 414, "lattice": [[3.2194, 0.0000, 0.0000], [0.0000, 4.5197, 0.0000], [0.0000, 0.0000, 4.1025]], "species": ["W", "W", "Al", "P"], "frac_coords": [[0.5000, 0.5000, 0.0000], [0.0000, 0.0000, 0.0000], [0.5000, 0.0000, 0.5000], [0.0000, 0.5000, 0.5000]]}



No. 12
{"formula": "AlPW2", "functional": "PBE", "state": "relaxed", "total_energy_ev_per_atom": -8.572, "polymorph_energy_mev_per_atom": 384, "lattice": [[2.7856, -0.0027, 0.0000], [-0.9202, 2.6293, 0.0000], [0.0000, 0.0000, 8.4414]], "species": ["W", "W", "Al", "P"], "frac_coords": [[0.5000, 0.5000, 0.2502], [0.0000, 0.0000, 0.9874], [0.0000, 0.0000, 0.5030], [0.5000, 0.5000, 0.7594]]}



No. 13
{"formula": "AlPW2", "functional": "PBE", "state": "relaxed", "total_energy_ev_per_atom": -8.624, "polymorph_energy_mev_per_atom": 332, "lattice": [[-0.4255, -3.3480, 0.9553], [1.5234, -0.8912, -2.4447], [5.8536, -0.3449, 1.3985]], "species": ["W", "W", "P", "Al"], "frac_coords": [[0.0000, 0.8905, 0.9806], [0.0000, 0.6095, 0.5194], [0.5000, 0.7500, 0.7500], [0.5000, 0.2500, 0.2500]]}



No. 14
{"formula": "AlPW2", "functional": "PBE", "state": "relaxed", "total_energy_ev_per_atom": -8.750, "polymorph_energy_mev_per_atom": 206, "lattice": [[1.4637, -2.5353, 0.0000], [1.4637, 2.5353, 0.0000], [0.0000, 0.0000, 16.2916]], "species": ["W", "W", "W", "W", "Al", "Al", "P", "P"], "frac_coords": [[0.3333, 0.6667, 0.1146], [0.3333, 0.6667, 0.3854], [0.6667, 0.3333, 0.6146], [0.6667, 0.3333, 0.8854], [0.3333, 0.6667, 0.7500], [0.6667, 0.3333, 0.2500], [0.0000, 0.0000, 0.5000], [0.0000, 0.0000, 0.0000]]}



No. 15
{"formula": "AlPW2", "functional": "PBE", "state": "relaxed", "total_energy_ev_per_atom": -8.541, "polymorph_energy_mev_per_atom": 416, "lattice": [[-1.3355, -2.7826, -0.6355], [1.6587, -1.6211, 3.6127], [-3.5170, 1.1966, 2.1517]], "species": ["Al", "P", "W", "W"], "frac_coords": [[0.5000, 0.5000, 0.0000], [0.5000, 0.0000, 0.5000], [0.0000, 0.5000, 0.5000], [0.0000, 0.0000, 0.0000]]}



no.,E_form (meV/atom)
1,40
2,-191
3,60
4,102
5,25
6,259
7,1151
8,33
9,354
10,101
11,223
12,193
13,140
14,15
15,224